NaRh2WF | PBE+U | relaxed

abc: 4.708 4.708 4.091
angles: 90.00 90.00 90.00
Positions (direct):
Na 0.000 0.000 0.000
Rh 0.000 0.500 0.500
Rh 0.500 0.000 0.500
W 0.500 0.500 0.000
F 0.500 0.500 0.500

Its calculated total energy is -4.34 eV/atom. As for the size of the total moment: 2.10 μB per cell.